Below is a relaxed structure of Na3ScPa2N6, with properties calculated at the GGA-PBE level.

a = 6.012 Å, b = 6.012 Å, c = 6.017 Å
α = 99.28°, β = 99.28°, γ = 120.43°
Atoms (fractional coordinates):
Na  0.000  0.000  0.000
Na  0.341  0.659  0.000
Na  0.659  0.341  0.000
Sc  0.500  0.500  0.500
Pa  0.166  0.834  0.500
Pa  0.834  0.166  0.500
N  0.102  0.435  0.311
N  0.229  0.229  0.689
N  0.435  0.102  0.311
N  0.565  0.898  0.689
N  0.771  0.771  0.311
N  0.898  0.565  0.689

Uncorrected formation energy   -0.956 eV per atom
Total moment   1.38 μB/f.u.
Total energy   -90.7 eV/cell
Calculated volume   14.78 A^3/atom